(1)
The following is a GGA-PBEsol calculation of Hf11Ga10 after structural relaxation, from the Alexandria database.

Summary:
Symmetry: No. 139
Formation energy from the elements in eV/atom: -0.547

Unit cell a=10.254 b=10.254 c=10.254 alpha=120.23 beta=120.23 gamma=89.60
Element x y z (fractional)
Hf: 0.061 0.312 0.749
Hf: 0.104 0.437 0.333
Hf: 0.104 0.770 0.667
Hf: 0.178 0.178 0.000
Hf: 0.230 0.896 0.333
Hf: 0.312 0.061 0.749
Hf: 0.312 0.562 0.251
Hf: 0.325 0.325 0.651
Hf: 0.325 0.675 0.000
Hf: 0.437 0.104 0.333
Hf: 0.438 0.688 0.749
Hf: 0.562 0.312 0.251
Hf: 0.563 0.896 0.667
Hf: 0.675 0.325 0.000
Hf: 0.675 0.675 0.349
Hf: 0.688 0.438 0.749
Hf: 0.688 0.939 0.251
Hf: 0.770 0.104 0.667
Hf: 0.822 0.822 0.000
Hf: 0.896 0.230 0.333
Hf: 0.896 0.563 0.667
Hf: 0.939 0.688 0.251
Ga: 0.034 0.034 0.414
Ga: 0.034 0.620 0.000
Ga: 0.127 0.127 0.255
Ga: 0.127 0.873 0.000
Ga: 0.143 0.500 0.643
Ga: 0.250 0.750 0.500
Ga: 0.380 0.380 0.414
Ga: 0.380 0.966 0.000
Ga: 0.393 0.393 0.000
Ga: 0.500 0.143 0.643
Ga: 0.500 0.857 0.357
Ga: 0.607 0.607 0.000
Ga: 0.620 0.034 0.000
Ga: 0.620 0.620 0.586
Ga: 0.750 0.250 0.500
Ga: 0.857 0.500 0.357
Ga: 0.873 0.127 0.000
Ga: 0.873 0.873 0.745
Ga: 0.966 0.380 0.000
Ga: 0.966 0.966 0.586


(2)
The following is a GGA-PBEsol calculation of HfGa after structural relaxation, from the Alexandria database.

Summary:
Symmetry: No. 57
Formation energy from the elements in eV/atom: -0.566

Unit cell a=9.103 b=8.433 c=5.575 alpha=90.00 beta=90.00 gamma=90.00
Element x y z (fractional)
Hf: 0.112 0.250 0.000
Hf: 0.112 0.250 0.500
Hf: 0.192 0.635 0.250
Hf: 0.192 0.865 0.750
Hf: 0.383 0.027 0.250
Hf: 0.383 0.473 0.750
Hf: 0.617 0.527 0.250
Hf: 0.617 0.973 0.750
Hf: 0.808 0.135 0.250
Hf: 0.808 0.365 0.750
Hf: 0.888 0.750 0.000
Hf: 0.888 0.750 0.500
Ga: 0.087 0.549 0.750
Ga: 0.087 0.951 0.250
Ga: 0.350 0.133 0.750
Ga: 0.350 0.367 0.250
Ga: 0.433 0.750 0.000
Ga: 0.433 0.750 0.500
Ga: 0.567 0.250 0.000
Ga: 0.567 0.250 0.500
Ga: 0.650 0.633 0.750
Ga: 0.650 0.867 0.250
Ga: 0.913 0.049 0.750
Ga: 0.913 0.451 0.250


(3)
The following is a GGA-PBEsol calculation of HfNbGa2I after structural relaxation, from the Alexandria database.

Summary:
Symmetry: No. 123

Unit cell a=5.058 b=5.058 c=5.063 alpha=90.00 beta=90.00 gamma=90.00
Element x y z (fractional)
Hf: 0.000 0.000 0.000
Nb: 0.000 0.000 0.500
Ga: 0.000 0.500 0.500
Ga: 0.500 0.000 0.500
I: 0.500 0.500 0.000


(4)
The following is a GGA-PBEsol calculation of HfGaPI2 after structural relaxation, from the Alexandria database.

Summary:
Symmetry: No. 123

Unit cell a=5.527 b=5.527 c=4.906 alpha=90.00 beta=90.00 gamma=90.00
Element x y z (fractional)
Hf: 0.000 0.000 0.000
Ga: 0.500 0.500 0.000
P: 0.000 0.000 0.500
I: 0.000 0.500 0.500
I: 0.500 0.000 0.500


(5)
The following is a GGA-PBEsol calculation of RbHfGa2Ir after structural relaxation, from the Alexandria database.

Summary:
Symmetry: No. 123
Formation energy from the elements in eV/atom: 0.117

Unit cell a=4.875 b=4.875 c=5.087 alpha=90.00 beta=90.00 gamma=90.00
Element x y z (fractional)
Rb: 0.000 0.000 0.000
Hf: 0.500 0.500 0.000
Ga: 0.000 0.500 0.500
Ga: 0.500 0.000 0.500
Ir: 0.500 0.500 0.500


(6)
The following is a GGA-PBEsol calculation of HfGaReIr2 after structural relaxation, from the Alexandria database.

Summary:
Symmetry: No. 123
Formation energy from the elements in eV/atom: 1.261

Unit cell a=4.710 b=4.710 c=4.925 alpha=90.00 beta=90.00 gamma=90.00
Element x y z (fractional)
Hf: 0.000 0.000 0.000
Ga: 0.500 0.500 0.000
Re: 0.000 0.000 0.500
Ir: 0.000 0.500 0.500
Ir: 0.500 0.000 0.500


| no. | raw total energy (eV per cell) | spin magnetization (Bohr magnetons per cell) |
| --- | --- | --- |
| 1 | -320.83 | 0.001 |
| 2 | -179.69 | 0.000 |
| 3 | -26.59 | 0.003 |
| 4 | -20.50 | 0.001 |
| 5 | -27.45 | 0.000 |
| 6 | -40.52 | 0.001 |